No. 1
The following is a PBE-GGA calculation of Fe3Sn7 after structural relaxation, from the Alexandria database.

Cell lengths 8.0125, 8.0125, 8.0125 Å; angles 109.47, 109.47, 109.47 degrees
Closest atoms and distances in Å follow each position.
Positions (direct):
Fe 0.0000 0.3493 0.3493  8 Sn 2.70-2.73, 1 Fe 2.79
Fe 0.0000 0.6507 0.6507  8 Sn 2.70-2.73, 1 Fe 2.79
Fe 0.3493 0.0000 0.3493  8 Sn 2.70-2.73, 1 Fe 2.79
Fe 0.3493 0.3493 0.0000  8 Sn 2.70-2.73, 1 Fe 2.79
Fe 0.6507 0.0000 0.6507  8 Sn 2.70-2.73, 1 Fe 2.79
Fe 0.6507 0.6507 0.0000  8 Sn 2.70-2.73, 1 Fe 2.79
Sn 0.0000 0.0000 0.3207  3 Fe 2.73, 4 Sn 2.87-2.97
Sn 0.0000 0.0000 0.6793  3 Fe 2.73, 4 Sn 2.87-2.97
Sn 0.0000 0.3207 0.0000  3 Fe 2.73, 4 Sn 2.87-2.97
Sn 0.0000 0.6793 0.0000  3 Fe 2.73, 4 Sn 2.87-2.97
Sn 0.2500 0.5000 0.7500  4 Fe 2.70
Sn 0.2500 0.7500 0.5000  4 Fe 2.70
Sn 0.3207 0.0000 0.0000  3 Fe 2.73, 4 Sn 2.87-2.97
Sn 0.3207 0.3207 0.3207  3 Fe 2.73, 4 Sn 2.87-2.97
Sn 0.5000 0.2500 0.7500  4 Fe 2.70
Sn 0.5000 0.7500 0.2500  4 Fe 2.70
Sn 0.6793 0.0000 0.0000  3 Fe 2.73, 4 Sn 2.87-2.97
Sn 0.6793 0.6793 0.6793  3 Fe 2.73, 4 Sn 2.87-2.97
Sn 0.7500 0.2500 0.5000  4 Fe 2.70
Sn 0.7500 0.5000 0.2500  4 Fe 2.70

Properties
- energy relative to the elements (eV per atom) = 0.07

---

No. 2
The following is a PBE-GGA calculation of K3TaH after structural relaxation, from the Alexandria database.

Cell lengths 5.5498, 5.5498, 5.5498 Å; angles 90.00, 90.00, 90.00 degrees
Closest atoms and distances in Å follow each position.
Positions (direct):
K 0.0000 0.0000 0.5000  2 H 2.77
K 0.0000 0.5000 0.0000  2 H 2.77
K 0.5000 0.0000 0.0000  2 H 2.77
Ta 0.5000 0.5000 0.5000  12 K 3.92
H 0.0000 0.0000 0.0000  6 K 2.77

Properties
- calculated total energy (eV per atom) = -2.65

---

No. 3
The following is a PBE-GGA calculation of YGeRu2Rh after structural relaxation, from the Alexandria database.

Cell lengths 4.6937, 4.6937, 5.1332 Å; angles 90.00, 90.00, 90.00 degrees
Closest atoms and distances in Å follow each position.
Positions (direct):
Y 0.0000 0.0000 0.0000  2 Rh 2.57
Ge 0.5000 0.5000 0.0000  4 Y 3.32, 8 Ru 3.48
Ru 0.0000 0.5000 0.5000  2 Rh 2.35
Ru 0.5000 0.0000 0.5000  2 Rh 2.35
Rh 0.0000 0.0000 0.5000  4 Ru 2.35, 2 Y 2.57

Properties
- energy relative to the elements (eV per atom) = 0.93

---

No. 4
The following is a PBE-GGA calculation of Tb2Tm5Pu after structural relaxation, from the Alexandria database.

Cell lengths 6.0550, 7.0088, 11.8348 Å; angles 98.51, 104.78, 90.15 degrees
Closest atoms and distances in Å follow each position.
Positions (direct):
Tb 0.0000 0.0000 0.0000  10 Tm 3.47-3.52, 2 Tb 3.50
Tb 0.0000 0.5000 0.0000  8 Tm 3.47-3.49, 2 Pu 3.47, 2 Tb 3.50
Tb 0.2497 0.1282 0.5034  1 Pu 3.44, 9 Tm 3.46-3.53, 2 Tb 3.49-3.54
Tb 0.7503 0.8718 0.4966  1 Pu 3.44, 9 Tm 3.46-3.53, 2 Tb 3.49-3.54
Tm 0.2119 0.9355 0.7512  7 Tm 3.46-3.51, 3 Tb 3.46-3.52, 2 Pu 3.49-3.52
Tm 0.2446 0.6236 0.5010  6 Tm 3.42-3.55, 2 Pu 3.46-3.48, 4 Tb 3.46-3.53
Tm 0.2882 0.8107 0.2509  4 Tb 3.46-3.51, 6 Tm 3.46-3.55, 2 Pu 3.48-3.50
Tm 0.2916 0.3176 0.2511  7 Tm 3.46-3.55, 2 Pu 3.47-3.50, 3 Tb 3.47-3.51
Tm 0.4996 0.2542 0.9996  2 Pu 3.44-3.45, 6 Tm 3.44-3.56, 4 Tb 3.48-3.52
Tm 0.5004 0.7458 0.0004  2 Pu 3.44-3.45, 6 Tm 3.44-3.56, 4 Tb 3.48-3.52
Tm 0.7084 0.6824 0.7489  7 Tm 3.46-3.55, 2 Pu 3.47-3.50, 3 Tb 3.47-3.51
Tm 0.7118 0.1893 0.7491  4 Tb 3.46-3.51, 6 Tm 3.46-3.55, 2 Pu 3.48-3.50
Tm 0.7554 0.3764 0.4990  6 Tm 3.42-3.55, 2 Pu 3.46-3.48, 4 Tb 3.46-3.53
Tm 0.7881 0.0645 0.2488  7 Tm 3.46-3.51, 3 Tb 3.46-3.52, 2 Pu 3.49-3.52
Pu 0.2119 0.4372 0.7510  2 Tb 3.44-3.47, 10 Tm 3.44-3.52
Pu 0.7881 0.5628 0.2490  2 Tb 3.44-3.47, 10 Tm 3.44-3.52

Properties
- energy relative to the elements (eV per atom) = 0.05

---

No. 5
The following is a PBE-GGA calculation of Cs2CuHCl6 after structural relaxation, from the Alexandria database.

Cell lengths 7.4631, 7.4631, 7.4631 Å; angles 126.17, 126.17, 79.61 degrees
Closest atoms and distances in Å follow each position.
Positions (direct):
Cs 0.2500 0.7500 0.5000  12 Cl 3.44-3.74
Cs 0.7500 0.2500 0.5000  12 Cl 3.44-3.74
Cu 0.0000 0.0000 0.0000  2 Cl 2.19
H 0.5000 0.5000 0.0000  4 Cl 2.18
Cl 0.1913 0.1913 0.0000  1 Cu 2.19
Cl 0.2714 0.2714 0.5427  1 H 2.18
Cl 0.2714 0.7286 0.0000  1 H 2.18
Cl 0.7286 0.2714 0.0000  1 H 2.18
Cl 0.7286 0.7286 0.4573  1 H 2.18
Cl 0.8087 0.8087 0.0000  1 Cu 2.19

Properties
- calculated total energy (eV per atom) = -2.82

---

No. 6
The following is a PBE-GGA calculation of PmDyGeRh after structural relaxation, from the Alexandria database.

Cell lengths 4.1801, 4.1488, 10.6532 Å; angles 90.00, 90.00, 90.00 degrees
Closest atoms and distances in Å follow each position.
Positions (direct):
Pm 0.0000 0.0000 0.0000  3 Rh 2.93-3.17, 4 Ge 3.04
Pm 0.0000 0.5000 0.5000  3 Rh 2.93-3.17, 4 Ge 3.04
Dy 0.5000 0.0000 0.2806  4 Rh 3.00, 3 Ge 3.04-3.11
Dy 0.5000 0.5000 0.7806  4 Rh 3.00, 3 Ge 3.04-3.11
Ge 0.5000 0.0000 0.5722  2 Rh 2.65
Ge 0.5000 0.5000 0.0722  2 Rh 2.65
Rh 0.0000 0.0000 0.7246  2 Ge 2.65, 1 Pm 2.93
Rh 0.0000 0.5000 0.2246  2 Ge 2.65, 1 Pm 2.93

Properties
- energy relative to the elements (eV per atom) = -0.83

---

No. 7
The following is a PBE-GGA calculation of Dy3Er6Tl after structural relaxation, from the Alexandria database.

Cell lengths 12.7543, 3.5278, 14.2931 Å; angles 90.00, 108.18, 90.00 degrees
Closest atoms and distances in Å follow each position.
Positions (direct):
Dy 0.0098 0.2500 0.3974  1 Tl 3.26, 7 Er 3.26-3.59, 4 Dy 3.50-3.53
Dy 0.3768 0.2500 0.9964  7 Er 3.32-3.62, 4 Dy 3.53-3.58
Dy 0.4679 0.2500 0.5927  4 Er 3.22-3.54, 4 Dy 3.49-3.53
Dy 0.5321 0.7500 0.4073  4 Er 3.22-3.54, 4 Dy 3.49-3.53
Dy 0.6232 0.7500 0.0036  7 Er 3.32-3.62, 4 Dy 3.53-3.58
Dy 0.9902 0.7500 0.6026  1 Tl 3.26, 7 Er 3.26-3.59, 4 Dy 3.50-3.53
Er 0.1394 0.7500 0.0227  3 Tl 3.33-3.47, 6 Er 3.53-3.57, 2 Dy 3.62
Er 0.1446 0.2500 0.8080  3 Dy 3.32-3.46, 2 Tl 3.32, 7 Er 3.39-3.61
Er 0.2180 0.2500 0.5996  4 Dy 3.22-3.41, 7 Er 3.37-3.55
Er 0.2551 0.7500 0.3969  5 Dy 3.49-3.68, 6 Er 3.53-3.55, 2 Tl 3.53
Er 0.3356 0.2500 0.2170  1 Tl 3.21, 3 Dy 3.35-3.54, 6 Er 3.53-3.57
Er 0.3842 0.7500 0.7890  7 Er 3.37-3.61, 5 Dy 3.48-3.74
Er 0.6158 0.2500 0.2110  7 Er 3.37-3.61, 5 Dy 3.48-3.74
Er 0.6644 0.7500 0.7830  1 Tl 3.21, 3 Dy 3.35-3.54, 6 Er 3.53-3.57
Er 0.7449 0.2500 0.6031  5 Dy 3.49-3.68, 6 Er 3.53-3.55, 2 Tl 3.53
Er 0.7820 0.7500 0.4004  4 Dy 3.22-3.41, 7 Er 3.37-3.55
Er 0.8554 0.7500 0.1920  3 Dy 3.32-3.46, 2 Tl 3.32, 7 Er 3.39-3.61
Er 0.8606 0.2500 0.9773  3 Tl 3.33-3.47, 6 Er 3.53-3.57, 2 Dy 3.62
Tl 0.0775 0.2500 0.1957  8 Er 3.21-3.53, 1 Dy 3.26, 2 Tl 3.53
Tl 0.9225 0.7500 0.8043  8 Er 3.21-3.53, 1 Dy 3.26, 2 Tl 3.53

Properties
- energy relative to the elements (eV per atom) = -0.01

---

No. 8
The following is a PBE-GGA calculation of TiAl4Mo after structural relaxation, from the Alexandria database.

Cell lengths 5.5893, 7.2771, 5.6514 Å; angles 90.00, 90.00, 90.00 degrees
Closest atoms and distances in Å follow each position.
Positions (direct):
Ti 0.0000 0.0000 0.0000  8 Al 2.73
Ti 0.5000 0.5000 0.0000  8 Al 2.73
Al 0.2500 0.2500 0.2626  2 Mo 2.66, 4 Al 2.68-2.97, 2 Ti 2.73
Al 0.2500 0.2500 0.7374  2 Mo 2.66, 4 Al 2.68-2.97, 2 Ti 2.73
Al 0.2500 0.7500 0.2626  2 Mo 2.66, 4 Al 2.68-2.97, 2 Ti 2.73
Al 0.2500 0.7500 0.7374  2 Mo 2.66, 4 Al 2.68-2.97, 2 Ti 2.73
Al 0.7500 0.2500 0.2626  2 Mo 2.66, 4 Al 2.68-2.97, 2 Ti 2.73
Al 0.7500 0.2500 0.7374  2 Mo 2.66, 4 Al 2.68-2.97, 2 Ti 2.73
Al 0.7500 0.7500 0.2626  2 Mo 2.66, 4 Al 2.68-2.97, 2 Ti 2.73
Al 0.7500 0.7500 0.7374  2 Mo 2.66, 4 Al 2.68-2.97, 2 Ti 2.73
Mo 0.0000 0.5000 0.5000  8 Al 2.66
Mo 0.5000 0.0000 0.5000  8 Al 2.66

Properties
- energy relative to the elements (eV per atom) = 0.31

---

No. 9
The following is a PBE-GGA calculation of Ac2ScGe2 after structural relaxation, from the Alexandria database.

Cell lengths 4.4378, 6.4930, 10.0345 Å; angles 90.00, 90.00, 90.00 degrees
Closest atoms and distances in Å follow each position.
Positions (direct):
Ac 0.0000 0.0000 0.1989  6 Ge 3.35-3.48, 2 Sc 3.75
Ac 0.0000 0.0000 0.8011  6 Ge 3.35-3.48, 2 Sc 3.75
Ac 0.5000 0.5000 0.3011  6 Ge 3.35-3.48, 2 Sc 3.75
Ac 0.5000 0.5000 0.6989  6 Ge 3.35-3.48, 2 Sc 3.75
Sc 0.0000 0.5000 0.0000  4 Ge 2.81
Sc 0.5000 0.0000 0.5000  4 Ge 2.81
Ge 0.0000 0.2659 0.5000  2 Sc 2.81, 1 Ge 3.04
Ge 0.0000 0.7341 0.5000  2 Sc 2.81, 1 Ge 3.04
Ge 0.5000 0.2341 0.0000  2 Sc 2.81, 1 Ge 3.04
Ge 0.5000 0.7659 0.0000  2 Sc 2.81, 1 Ge 3.04

Properties
- energy relative to the elements (eV per atom) = -0.67

---

No. 10
The following is a PBE-GGA calculation of PmNdSi2 after structural relaxation, from the Alexandria database.

Cell lengths 3.9317, 4.4481, 10.9274 Å; angles 90.00, 90.00, 90.00 degrees
Closest atoms and distances in Å follow each position.
Positions (direct):
Pm 0.0000 0.0000 0.0000  7 Si 3.06-3.21
Pm 0.0000 0.5000 0.5000  7 Si 3.06-3.21
Nd 0.5000 0.0000 0.2805  7 Si 3.06-3.22
Nd 0.5000 0.5000 0.7805  7 Si 3.06-3.22
Si 0.0000 0.0000 0.7116  2 Si 2.52
Si 0.0000 0.5000 0.2116  2 Si 2.52
Si 0.5000 0.0000 0.5673  2 Si 2.52
Si 0.5000 0.5000 0.0673  2 Si 2.52

Properties
- formation energy from raw total energies (eV per atom) = -0.771

---

No. 11
The following is a PBE-GGA calculation of Dy8Er2Mg after structural relaxation, from the Alexandria database.

Cell lengths 8.2046, 8.2046, 5.3744 Å; angles 90.05, 90.05, 103.52 degrees
Closest atoms and distances in Å follow each position.
Positions (direct):
Dy 0.1648 0.1648 0.9998  7 Dy 3.35-3.66, 1 Mg 3.40, 4 Er 3.53
Dy 0.1996 0.4738 0.4992  7 Dy 3.32-3.66, 2 Er 3.43-3.53, 2 Mg 3.62
Dy 0.2476 0.7524 0.0000  2 Er 3.15, 1 Mg 3.25, 4 Dy 3.49
Dy 0.4738 0.1996 0.4992  7 Dy 3.32-3.66, 2 Er 3.43-3.53, 2 Mg 3.62
Dy 0.5262 0.8004 0.5008  7 Dy 3.32-3.66, 2 Er 3.43-3.53, 2 Mg 3.62
Dy 0.7524 0.2476 0.0000  2 Er 3.15, 1 Mg 3.25, 4 Dy 3.49
Dy 0.8004 0.5262 0.5008  7 Dy 3.32-3.66, 2 Er 3.43-3.53, 2 Mg 3.62
Dy 0.8352 0.8352 0.0002  7 Dy 3.35-3.66, 1 Mg 3.40, 4 Er 3.53
Er 0.1207 0.8793 0.5000  1 Er 3.11, 4 Dy 3.15-3.43
Er 0.8793 0.1207 0.5000  1 Er 3.11, 4 Dy 3.15-3.43
Mg 0.5000 0.5000 0.0000  12 Dy 3.25-3.62

Properties
- energy relative to the elements (eV per atom) = 0.17

---

No. 12
The following is a PBE-GGA calculation of Hg5Mo4 after structural relaxation, from the Alexandria database.

Cell lengths 7.4526, 7.4526, 7.4526 Å; angles 92.79, 92.79, 154.49 degrees
Closest atoms and distances in Å follow each position.
Positions (direct):
Hg 0.0000 0.0000 0.0000  10 Hg 2.94-3.29
Hg 0.3321 0.3321 0.6642  4 Hg 2.90-2.94, 4 Mo 3.07
Hg 0.3321 0.6679 0.0000  4 Hg 2.90-2.94, 4 Mo 3.07
Hg 0.6679 0.3321 0.0000  4 Hg 2.90-2.94, 4 Mo 3.07
Hg 0.6679 0.6679 0.3358  4 Hg 2.90-2.94, 4 Mo 3.07
Mo 0.0000 0.3560 0.3560  5 Mo 2.66-2.96
Mo 0.0000 0.6440 0.6440  5 Mo 2.66-2.96
Mo 0.3560 0.0000 0.3560  5 Mo 2.66-2.96
Mo 0.6440 0.0000 0.6440  5 Mo 2.66-2.96

Properties
- energy relative to the elements (eV per atom) = 0.47